Density functional theory data (GGA-PBE) for a relaxed YTmGa crystal.

Values from the calculation:
ΔE to the lowest computed polymorph in eV per formula unit: 0.00
Density in g cm⁻³: 6.4
Spin magnetization in μB per atom: 0.00

a b c (Å): 6.971 6.971 6.971
angles (deg): 90.00 90.00 90.00
Sites, in units of the cell vectors:
Y  0.000  0.000  0.000
Y  0.000  0.500  0.500
Y  0.500  0.000  0.500
Y  0.500  0.500  0.000
Tm  0.000  0.000  0.500
Tm  0.000  0.500  0.000
Tm  0.500  0.000  0.000
Tm  0.500  0.500  0.500
Ga  0.250  0.250  0.750
Ga  0.250  0.750  0.250
Ga  0.750  0.250  0.250
Ga  0.750  0.750  0.750